1.
A relaxed structure of SrTl2Zn2Se4, computed with PBE-GGA.

Computed properties:
- N(E_F) (states/eV/cell) = 0.0
- energy relative to the elements, uncorrected (eV per atom) = -0.8617
- total DFT energy (no corrections) (eV/cell) = -61.312
- size of the total moment (μB/cell) = 0.0

Lattice parameters (Å, degrees): 16.3544 4.1687 8.1008 90.00 109.08 90.00
Space group C2/m (No. 12)
Asymmetric unit:
1 Sr 0.0000 0.0000 0.0000 x2
2 Tl 0.1224 0.0000 0.5536 x4
3 Zn 0.1760 0.5000 0.9761 x4
4 Se 0.0332 0.5000 0.7489 x4
5 Se 0.2062 0.0000 0.1694 x4

2.
A relaxed structure of Ce2DyEr3Sb6, computed with PBE-GGA.

Computed properties:
- N(E_F) (states/eV/cell) = 29.1
- energy relative to the elements, uncorrected (eV per atom) = -1.0827
- total DFT energy (no corrections) (eV/cell) = -135.771
- size of the total moment (μB/cell) = 3.0

Lattice parameters (Å, degrees): 19.1895 4.4098 8.8118 90.00 103.26 90.00
Space group C2/m (No. 12)
Asymmetric unit:
1 Ce 0.1657 0.0000 0.3317 x4
2 Dy 0.0000 0.5000 0.0000 x2
3 Er 0.0000 0.5000 0.5000 x2
4 Er 0.1670 0.0000 0.8341 x4
5 Sb 0.0023 0.0000 0.7496 x4
6 Sb 0.1650 0.5000 0.5880 x4
7 Sb 0.1668 0.5000 0.0775 x4

3.
A relaxed structure of AsP2RuO, computed with PBE-GGA.

Computed properties:
- N(E_F) (states/eV/cell) = 5.0
- energy relative to the elements, uncorrected (eV per atom) = 0.6961
- total DFT energy (no corrections) (eV/cell) = -26.223
- relative energy among the computed polymorphs (eV/f.u.) = 2.600
- size of the total moment (μB/cell) = 0.4

Lattice parameters (Å, degrees): 4.7202 4.7202 3.4755 90.00 90.00 90.00
Space group P4/mmm (No. 123)
Asymmetric unit:
1 As 0.0000 0.0000 0.0000 x1
2 P 0.0000 0.5000 0.0000 x2
3 Ru 0.5000 0.5000 0.5000 x1
4 O 0.0000 0.0000 0.5000 x1

4.
A relaxed structure of Sc2Zn2Cu, computed with PBE-GGA.

Computed properties:
- N(E_F) (states/eV/cell) = 8.8
- total DFT energy (no corrections) (eV/cell) = -38.480
- DFT formation energy (eV/atom) = 0.013
- relative energy among the computed polymorphs (eV/f.u.) = 1.405
- size of the total moment (μB/cell) = 0.0

Lattice parameters (Å, degrees): 3.4444 3.4444 16.2743 90.00 90.00 90.00
Space group I4/mmm (No. 139)
Asymmetric unit:
1 Sc 0.0000 0.0000 0.0948 x4
2 Zn 0.0000 0.5000 0.2500 x4
3 Cu 0.0000 0.0000 0.5000 x2

5.
A relaxed structure of Ca2TlHg, computed with PBE-GGA.

Computed properties:
- N(E_F) (states/eV/cell) = 6.3
- total DFT energy (no corrections) (eV/cell) = -16.000
- DFT formation energy (eV/atom) = -0.332
- size of the total moment (μB/cell) = 0.0

Lattice parameters (Å, degrees): 9.7850 3.9168 6.7390 90.00 104.21 90.00
Space group C2/m (No. 12)
Asymmetric unit:
1 Ca 0.2462 0.0000 0.2485 x4
2 Tl 0.0000 0.0000 0.5000 x2
3 Hg 0.0000 0.5000 0.0000 x2

6.
A relaxed structure of Tm2ScTlC, computed with PBE-GGA.

Computed properties:
- N(E_F) (states/eV/cell) = 0.9
- total DFT energy (no corrections) (eV/cell) = -29.550
- DFT formation energy (eV/atom) = -0.537
- size of the total moment (μB/cell) = 0.0

Lattice parameters (Å, degrees): 4.8289 4.8289 4.5863 90.00 90.00 90.00
Space group P4/mmm (No. 123)
Asymmetric unit:
1 Tm 0.0000 0.5000 0.0000 x2
2 Sc 0.0000 0.0000 0.5000 x1
3 Tl 0.5000 0.5000 0.5000 x1
4 C 0.0000 0.0000 0.0000 x1

7.
A relaxed structure of DyScNiOs, computed with PBE-GGA.

Computed properties:
- N(E_F) (states/eV/cell) = 6.2
- total DFT energy (no corrections) (eV/cell) = -117.628
- DFT formation energy (eV/atom) = -0.366
- size of the total moment (μB/cell) = 0.0

Lattice parameters (Å, degrees): 6.5953 6.5953 6.5953 90.00 90.00 90.00
Space group F-43m (No. 216)
Asymmetric unit:
1 Dy 0.0000 0.0000 0.0000 x4
2 Sc 0.0000 0.0000 0.5000 x4
3 Ni 0.2500 0.2500 0.7500 x4
4 Os 0.2500 0.2500 0.2500 x4

8.
A relaxed structure of ZnGaCl5, computed with PBE-GGA.

Computed properties:
- N(E_F) (states/eV/cell) = 0.0
- energy relative to the elements, uncorrected (eV per atom) = -1.0373
- total DFT energy (no corrections) (eV/cell) = -83.181
- size of the total moment (μB/cell) = 0.0

Lattice parameters (Å, degrees): 9.6519 9.9926 8.9917 90.00 117.70 90.00
Space group C2/c (No. 15)
Asymmetric unit:
1 Zn 0.0000 0.0000 0.0000 x4
2 Ga 0.0000 0.3774 0.2500 x4
3 Cl 0.0000 0.0694 0.7500 x4
4 Cl 0.0093 0.2589 0.4607 x8
5 Cl 0.1982 0.4780 0.8454 x8

9.
A relaxed structure of Fe2AgBr4, computed with PBE-GGA.

Computed properties:
- N(E_F) (states/eV/cell) = 9.8
- energy relative to the elements, uncorrected (eV per atom) = 0.0505
- total DFT energy (no corrections) (eV/cell) = -52.229
- size of the total moment (μB/cell) = 14.4

Lattice parameters (Å, degrees): 5.4844 5.4844 12.7927 90.00 90.00 90.00
Space group I4/mmm (No. 139)
Asymmetric unit:
1 Fe 0.0000 0.0000 0.0880 x4
2 Ag 0.0000 0.0000 0.5000 x2
3 Br 0.0000 0.0000 0.2718 x4
4 Br 0.0000 0.5000 0.0000 x4

10.
A relaxed structure of TaFe2Se2, computed with PBE-GGA.

Computed properties:
- N(E_F) (states/eV/cell) = 9.3
- energy relative to the elements, uncorrected (eV per atom) = 0.2283
- total DFT energy (no corrections) (eV/cell) = -69.211
- relative energy among the computed polymorphs (eV/f.u.) = 0.000
- size of the total moment (μB/cell) = 6.8

Lattice parameters (Å, degrees): 6.7699 6.7699 3.2977 90.00 90.00 90.00
Space group P4/mbm (No. 127)
Asymmetric unit:
1 Ta 0.0000 0.0000 0.0000 x2
2 Fe 0.1245 0.3755 0.0000 x4
3 Se 0.1795 0.6795 0.5000 x4

11.
A relaxed structure of YSc2, computed with PBE-GGA.

Computed properties:
- N(E_F) (states/eV/cell) = 10.9
- total DFT energy (no corrections) (eV/cell) = -37.885
- DFT formation energy (eV/atom) = 0.062
- relative energy among the computed polymorphs (eV/f.u.) = 0.115
- size of the total moment (μB/cell) = 0.0

Lattice parameters (Å, degrees): 3.3838 3.3838 14.1328 90.00 90.00 90.00
Space group I4/mmm (No. 139)
Asymmetric unit:
1 Y 0.0000 0.0000 0.0000 x2
2 Sc 0.0000 0.0000 0.3275 x4

12.
A relaxed structure of LaMg2CdS, computed with PBE-GGA.

Computed properties:
- N(E_F) (states/eV/cell) = 3.8
- energy relative to the elements, uncorrected (eV per atom) = 0.1907
- total DFT energy (no corrections) (eV/cell) = -12.206
- size of the total moment (μB/cell) = 0.0

Lattice parameters (Å, degrees): 6.7220 6.7220 5.3199 90.00 90.00 90.00
Space group P4/mmm (No. 123)
Asymmetric unit:
1 La 0.0000 0.0000 0.0000 x1
2 Mg 0.0000 0.5000 0.0000 x2
3 Cd 0.5000 0.5000 0.5000 x1
4 S 0.0000 0.0000 0.5000 x1